1.
ZrCoTe4 | GGA-PBE | relaxed

- Crystal system: cubic
- ΔE_f (raw): 949 meV per atom

Geometry as extended XYZ:
```
6
Lattice="0.000 4.350 4.350 4.350 0.000 4.350 4.350 4.350 0.000" Properties=species:S:1:pos:R:3 pbc="T T T"
Zr 0.000 0.000 0.000
Co 6.526 6.526 6.526
Te 3.264 3.264 3.264
Te 5.437 5.437 3.264
Te 5.437 3.264 5.437
Te 3.264 5.437 5.437
```

***

2.
Ni2RhSe4 | GGA-PBE | relaxed

- Crystal system: tetragonal
- ΔE_f (raw): -354 meV per atom

Geometry as extended XYZ:
```
28
Lattice="7.172 0.000 0.000 0.000 7.172 0.000 0.000 0.000 10.124" Properties=species:S:1:pos:R:3 pbc="T T T"
Ni 0.000 1.767 0.000
Ni 0.000 5.404 5.062
Ni 1.767 0.000 7.593
Ni 1.783 1.783 3.797
Ni 1.783 5.388 1.266
Ni 5.388 1.783 6.328
Ni 5.388 5.388 8.859
Ni 5.404 0.000 2.531
Rh 1.759 3.586 7.593
Rh 3.586 1.759 0.000
Rh 3.586 5.413 5.062
Rh 5.413 3.586 2.531
Se 0.086 1.751 7.704
Se 0.086 5.421 7.483
Se 1.751 0.086 10.014
Se 1.749 3.458 10.089
Se 1.749 3.714 5.097
Se 1.751 7.086 5.173
Se 3.458 1.749 7.628
Se 3.458 5.422 7.558
Se 3.714 1.749 2.496
Se 3.714 5.422 2.566
Se 5.421 0.086 0.111
Se 5.422 3.458 0.035
Se 5.422 3.714 5.027
Se 5.421 7.086 4.951
Se 7.086 1.751 2.420
Se 7.086 5.421 2.642
```